Pa2Si4IrPd3 | PBE-GGA | relaxed

The density of states at the Fermi level is 5.6 states/eV/cell. The raw total energy is -7.28 eV/atom. For the volume, the calculation gives 172.3 Å³ per cell. As for the formation energy from raw total energies: -769 meV per atom.

The structure belongs to space group P-4m2 (No. 115); the cell edges are 4.222, 4.222 and 9.668 Å and the angles 90.00°, 90.00° and 90.00°. Symmetry generates all atoms from Pa at (0.000, 0.500, 0.249), Si at (0.000, 0.000, 0.500), Si at (0.000, 0.500, 0.868), Si at (0.500, 0.500, 0.500), Ir at (0.500, 0.500, 0.000), Pd at (0.000, 0.000, 0.000) and Pd at (0.000, 0.500, 0.622).